A plane-wave DFT calculation with PBE was carried out for an optimized crystal structure of RbLaN2O.

Space group   No. 123
ΔE_f (raw)   5.0 eV/f.u.

Cell lengths 4.329, 4.329, 4.458 Å; angles 90.00, 90.00, 90.00 degrees
Each line ends with the local moment (μB).
Element x y z (fractional)
1 O 0.000 0.000 0.500  0.01
2 N 0.500 0.000 0.000  0.36
3 N 0.000 0.500 0.000  0.36
4 La 0.500 0.500 0.500  -0.01
5 Rb 0.000 0.000 0.000  0.10